# 1
Here is a relaxed structure of VSiMo from Alexandria. Energies are from PBE.

Summary:
E_form (uncorrected) ... -0.3950 eV per atom
Crystal system ... orthorhombic

abc: 4.9202 5.8468 5.8427
angles: 90.00 90.00 90.00
Space group Ima2 (No. 46)
Asymmetric unit:
V 0.2500 0.1592 0.0000
Si 0.0000 0.0000 0.3389
Mo 0.2500 0.6556 0.1867

# 2
Here is a relaxed structure of Ba2ScCl from Alexandria. Energies are from PBE.

Summary:
Energy above the lowest structure with this stoichiometry ... 0.092 eV per atom
E_form (uncorrected) ... -0.5227 eV per atom
Crystal system ... monoclinic

abc: 20.7608 3.8450 4.0484
angles: 90.00 101.18 90.00
Space group Cm (No. 8)
Asymmetric unit:
Ba 0.0000 0.0000 0.0000
Ba 0.2246 0.0000 0.7266
Sc 0.3480 0.5000 0.3494
Cl 0.0861 0.5000 0.5855

# 3
Here is a relaxed structure of K2LaZn from Alexandria. Energies are from PBE.

Summary:
Energy above the lowest structure with this stoichiometry ... 0.395 eV per atom
Crystal system ... orthorhombic
Energy of formation ... 178 kJ/mol of formula units

abc: 7.1579 12.9566 3.5995
angles: 90.00 90.00 90.00
Space group Cmmm (No. 65)
Asymmetric unit:
K 0.2500 0.2500 0.0000
La 0.0000 0.0000 0.5000
Zn 0.0000 0.5000 0.5000

# 4
Here is a relaxed structure of Be3SeBr from Alexandria. Energies are from PBE.

Summary:
Energy above the lowest structure with this stoichiometry ... 0.000 eV per atom
E_form (uncorrected) ... 0.9201 eV per atom
Crystal system ... cubic

abc: 4.5498 4.5498 4.5498
angles: 90.00 90.00 90.00
Space group Pm-3m (No. 221)
Asymmetric unit:
Be 0.0000 0.0000 0.5000
Se 0.0000 0.0000 0.0000
Br 0.5000 0.5000 0.5000

# 5
Here is a relaxed structure of ThGa3IrPd from Alexandria. Energies are from PBE.

Summary:
Crystal system ... orthorhombic
Energy of formation ... -271 kJ/mol of formula units

abc: 6.2497 12.8033 5.6959
angles: 90.00 90.00 90.00
Space group Cmcm (No. 63)
Asymmetric unit:
Th 0.0000 0.2154 0.2500
Ga 0.0000 0.3614 0.7500
Ga 0.1963 0.0000 0.0000
Ir 0.0000 0.1673 0.7500
Pd 0.0000 0.4301 0.2500

# 6
Here is a relaxed structure of Li2HgH from Alexandria. Energies are from PBE.

Summary:
Energy above the lowest structure with this stoichiometry ... 0.004 eV per atom
Crystal system ... trigonal

abc: 3.0793 3.0793 21.0861
angles: 90.00 90.00 120.00
Space group R3m (No. 160, hexagonal axes)
Asymmetric unit:
Li 0.0000 0.0000 0.0000
Li 0.0000 0.0000 0.2242
Hg 0.0000 0.0000 0.7804
H 0.0000 0.0000 0.6135

# 7
Here is a relaxed structure of SrZrAs2 from Alexandria. Energies are from PBE.

Summary:
Energy above the lowest structure with this stoichiometry ... 0.549 eV per atom
Crystal system ... cubic
Energy of formation ... -232 kJ/mol of formula units

abc: 7.1548 7.1548 7.1548
angles: 90.00 90.00 90.00
Space group Fm-3m (No. 225)
Asymmetric unit:
Sr 0.0000 0.0000 0.0000
Zr 0.0000 0.0000 0.5000
As 0.2500 0.2500 0.2500

# 8
Here is a relaxed structure of Mn3Co3N from Alexandria. Energies are from PBE.

Summary:
E_form (uncorrected) ... -0.0894 eV per atom
Crystal system ... cubic

abc: 10.6987 10.6987 10.6987
angles: 90.00 90.00 90.00
Space group Fd-3m (No. 227, origin choice 2)
Asymmetric unit:
Mn 0.0631 0.3750 0.3750
Co 0.0000 0.0000 0.5000
Co 0.0421 0.0421 0.7079
N 0.0000 0.0000 0.0000

# 9
Here is a relaxed structure of CoTc2PtN from Alexandria. Energies are from PBE.

Summary:
E_form (uncorrected) ... 0.0028 eV per atom
Crystal system ... tetragonal

abc: 4.0133 4.0133 3.8831
angles: 90.00 90.00 90.00
Space group P4/mmm (No. 123)
Asymmetric unit:
Co 0.0000 0.0000 0.0000
Tc 0.0000 0.5000 0.5000
Pt 0.5000 0.5000 0.0000
N 0.0000 0.0000 0.5000

# 10
Here is a relaxed structure of Ti2GaHPd from Alexandria. Energies are from PBE.

Summary:
Energy above the lowest structure with this stoichiometry ... 0.093 eV per atom
Crystal system ... tetragonal

abc: 3.8422 3.8422 4.3744
angles: 90.00 90.00 90.00
Space group P4/mmm (No. 123)
Asymmetric unit:
Ti 0.0000 0.5000 0.0000
Ga 0.0000 0.0000 0.5000
H 0.0000 0.0000 0.0000
Pd 0.5000 0.5000 0.5000

# 11
Here is a relaxed structure of Ba2NaAs2 from Alexandria. Energies are from PBE.

Summary:
Energy above the lowest structure with this stoichiometry ... 0.390 eV per atom
Crystal system ... tetragonal
Energy of formation ... -180 kJ/mol of formula units

abc: 4.3436 4.3436 21.5803
angles: 90.00 90.00 90.00
Space group I4/mmm (No. 139)
Asymmetric unit:
Ba 0.0000 0.0000 0.1385
Na 0.0000 0.0000 0.5000
As 0.0000 0.5000 0.2500

# 12
Here is a relaxed structure of BaMnRe2 from Alexandria. Energies are from PBE.

Summary:
Energy above the lowest structure with this stoichiometry ... 0.842 eV per atom
Crystal system ... monoclinic
Energy of formation ... 531 kJ/mol of formula units

abc: 5.5254 10.4666 2.8533
angles: 90.00 112.65 90.00
Space group C2/m (No. 12)
Asymmetric unit:
Ba 0.0000 0.0000 0.0000
Mn 0.0000 0.5000 0.0000
Re 0.2500 0.2500 0.5000